Compound: InAs2Au
Source: the Alexandria database
Functional: PBE-GGA
Structure: optimized geometry

a b c (Å): 6.0698 6.0698 6.0698
angles (deg): 141.67 137.93 58.22
Last column: nearest neighbours and their distance in Å.
Positions (direct):
As (0.5792, 0.5792, 0.0000)  2 Au 2.69, 2 In 2.83
As (0.9208, 0.9208, 0.0000)  2 Au 2.69, 2 In 2.83
In (0.2500, 0.7500, 0.5000)  4 As 2.83, 4 Au 2.95
Au (0.7500, 0.2500, 0.5000)  4 As 2.69, 4 In 2.95

Summary:
The formation energy comes out at 15.4 kJ/mol of atoms.